# BeSiTc2 | Alexandria via LeMat-Bulk | GGA-PBE | optimized geometry
data_BeSiTc2
_chemical_formula_sum 'Be1 Si1 Tc2'
_cell_length_a 2.954
_cell_length_b 3.883
_cell_length_c 4.501
_cell_angle_alpha 90.00
_cell_angle_beta 90.00
_cell_angle_gamma 90.00
_symmetry_space_group_name_H-M 'P m m m'
_symmetry_Int_Tables_number 47
_symmetry_space_group_name_Hall '-P 2 2'
loop_
_atom_site_label
_atom_site_fract_x
_atom_site_fract_y
_atom_site_fract_z
Be1 0.000 0.000 0.000
Si1 0.500 0.000 0.500
Tc1 0.000 0.500 0.500
Tc2 0.500 0.500 0.000
# D(E_F) = 4.0 states/eV per cell
# Distance to the lowest polymorph of the same formula = 0.343 eV per atom

# BeSi2Tc | Alexandria via LeMat-Bulk | GGA-PBE | optimized geometry
data_BeSi2Tc
_chemical_formula_sum 'Be4 Si8 Tc4'
_cell_length_a 6.678
_cell_length_b 6.678
_cell_length_c 4.816
_cell_angle_alpha 90.00
_cell_angle_beta 90.00
_cell_angle_gamma 90.00
_symmetry_space_group_name_H-M 'I -4 2 d'
_symmetry_Int_Tables_number 122
_symmetry_space_group_name_Hall 'I -4 2bw'
loop_
_atom_site_label
_atom_site_fract_x
_atom_site_fract_y
_atom_site_fract_z
Be1 0.000 0.000 0.000
Si1 0.222 0.250 0.125
Tc1 0.000 0.000 0.500
# D(E_F) = 5.8 states/eV per cell

# BeSi2Tc | Alexandria via LeMat-Bulk | GGA-PBE | optimized geometry
data_BeSi2Tc
_chemical_formula_sum 'Be4 Si8 Tc4'
_cell_length_a 5.808
_cell_length_b 5.808
_cell_length_c 5.808
_cell_angle_alpha 90.00
_cell_angle_beta 90.00
_cell_angle_gamma 90.00
_symmetry_space_group_name_H-M 'F -4 3 m'
_symmetry_Int_Tables_number 216
_symmetry_space_group_name_Hall 'F -4 2 3'
loop_
_atom_site_label
_atom_site_fract_x
_atom_site_fract_y
_atom_site_fract_z
Be1 0.000 0.000 0.000
Si1 0.000 0.000 0.500
Si2 0.250 0.250 0.750
Tc1 0.250 0.250 0.250
# D(E_F) = 9.7 states/eV per cell

# Be2SiTc | Alexandria via LeMat-Bulk | GGA-PBE | optimized geometry
data_Be2SiTc
_chemical_formula_sum 'Be8 Si4 Tc4'
_cell_length_a 4.365
_cell_length_b 4.821
_cell_length_c 8.433
_cell_angle_alpha 90.00
_cell_angle_beta 97.37
_cell_angle_gamma 90.00
_symmetry_space_group_name_H-M 'P 1 21/m 1'
_symmetry_Int_Tables_number 11
_symmetry_space_group_name_Hall '-P 2yb'
loop_
_atom_site_label
_atom_site_fract_x
_atom_site_fract_y
_atom_site_fract_z
Be1 0.171 0.009 0.337
Be2 0.272 0.519 0.832
Si1 0.220 0.250 0.583
Si2 0.309 0.750 0.083
Tc1 0.196 0.250 0.088
Tc2 0.352 0.750 0.581
# D(E_F) = 5.5 states/eV per cell

# Be2SiTc | Alexandria via LeMat-Bulk | GGA-PBE | optimized geometry
data_Be2SiTc
_chemical_formula_sum 'Be4 Si2 Tc2'
_cell_length_a 3.318
_cell_length_b 3.863
_cell_length_c 7.309
_cell_angle_alpha 90.00
_cell_angle_beta 90.00
_cell_angle_gamma 90.00
_symmetry_space_group_name_H-M 'C m m m'
_symmetry_Int_Tables_number 65
_symmetry_space_group_name_Hall '-C 2 2'
loop_
_atom_site_label
_atom_site_fract_x
_atom_site_fract_y
_atom_site_fract_z
Be1 0.000 0.000 0.248
Si1 0.000 0.500 0.500
Tc1 0.000 0.500 0.000
# D(E_F) = 3.4 states/eV per cell

# Be2SiTc | Alexandria via LeMat-Bulk | GGA-PBE | optimized geometry
data_Be2SiTc
_chemical_formula_sum 'Be2 Si1 Tc1'
_cell_length_a 3.627
_cell_length_b 3.627
_cell_length_c 3.295
_cell_angle_alpha 90.00
_cell_angle_beta 90.00
_cell_angle_gamma 90.00
_symmetry_space_group_name_H-M 'P 4/m m m'
_symmetry_Int_Tables_number 123
_symmetry_space_group_name_Hall '-P 4 2'
loop_
_atom_site_label
_atom_site_fract_x
_atom_site_fract_y
_atom_site_fract_z
Be1 0.000 0.500 0.000
Si1 0.000 0.000 0.500
Tc1 0.500 0.500 0.500
# D(E_F) = 2.1 states/eV per cell

# BeSi2Tc | Alexandria via LeMat-Bulk | GGA-PBE | optimized geometry
data_BeSi2Tc
_chemical_formula_sum 'Be2 Si4 Tc2'
_cell_length_a 3.159
_cell_length_b 4.470
_cell_length_c 7.438
_cell_angle_alpha 90.00
_cell_angle_beta 90.00
_cell_angle_gamma 90.00
_symmetry_space_group_name_H-M 'C m m m'
_symmetry_Int_Tables_number 65
_symmetry_space_group_name_Hall '-C 2 2'
loop_
_atom_site_label
_atom_site_fract_x
_atom_site_fract_y
_atom_site_fract_z
Be1 0.000 0.000 0.000
Si1 0.000 0.500 0.243
Tc1 0.000 0.000 0.500
# D(E_F) = 5.2 states/eV per cell

# Be3SiTc | Alexandria via LeMat-Bulk | GGA-PBE | optimized geometry
data_Be3SiTc
_chemical_formula_sum 'Be3 Si1 Tc1'
_cell_length_a 4.018
_cell_length_b 4.018
_cell_length_c 4.018
_cell_angle_alpha 90.00
_cell_angle_beta 90.00
_cell_angle_gamma 90.00
_symmetry_space_group_name_H-M 'P m -3 m'
_symmetry_Int_Tables_number 221
_symmetry_space_group_name_Hall '-P 4 2 3'
loop_
_atom_site_label
_atom_site_fract_x
_atom_site_fract_y
_atom_site_fract_z
Be1 0.000 0.000 0.500
Si1 0.000 0.000 0.000
Tc1 0.500 0.500 0.500
# D(E_F) = 2.9 states/eV per cell
# Distance to the lowest polymorph of the same formula = 1.123 eV per atom

# Be3SiTc2 | Alexandria via LeMat-Bulk | GGA-PBE | optimized geometry
data_Be3SiTc2
_chemical_formula_sum 'Be9 Si3 Tc6'
_cell_length_a 4.4140
_cell_length_b 4.4140
_cell_length_c 11.2438
_cell_angle_alpha 90.00
_cell_angle_beta 90.00
_cell_angle_gamma 120.00
_symmetry_space_group_name_H-M 'R -3 m'
_symmetry_Int_Tables_number 166
_symmetry_space_group_name_Hall '-R 3 2"'
loop_
_atom_site_label
_atom_site_fract_x
_atom_site_fract_y
_atom_site_fract_z
Be1 0.0000 0.5000 0.0000
Si1 0.0000 0.0000 0.5000
Tc1 0.0000 0.0000 0.1218
# D(E_F) = 9.5 states/eV per cell

# Be2Si2Tc | Alexandria via LeMat-Bulk | GGA-PBE | optimized geometry
data_Be2Si2Tc
_chemical_formula_sum 'Be4 Si4 Tc2'
_cell_length_a 3.092
_cell_length_b 5.846
_cell_length_c 6.784
_cell_angle_alpha 81.93
_cell_angle_beta 83.05
_cell_angle_gamma 87.03
_symmetry_space_group_name_H-M 'P -1'
_symmetry_Int_Tables_number 2
_symmetry_space_group_name_Hall '-P 1'
loop_
_atom_site_label
_atom_site_fract_x
_atom_site_fract_y
_atom_site_fract_z
Be1 0.216 0.137 0.020
Be2 0.268 0.388 0.465
Si1 0.153 0.502 0.828
Si2 0.220 0.892 0.646
Tc1 0.289 0.790 0.289
# D(E_F) = 2.6 states/eV per cell

# BeSiTc2 | Alexandria via LeMat-Bulk | GGA-PBE | optimized geometry
data_BeSiTc2
_chemical_formula_sum 'Be2 Si2 Tc4'
_cell_length_a 3.085
_cell_length_b 4.307
_cell_length_c 7.952
_cell_angle_alpha 90.00
_cell_angle_beta 90.00
_cell_angle_gamma 90.00
_symmetry_space_group_name_H-M 'C m m 2'
_symmetry_Int_Tables_number 35
_symmetry_space_group_name_Hall 'C 2 -2'
loop_
_atom_site_label
_atom_site_fract_x
_atom_site_fract_y
_atom_site_fract_z
Be1 0.000 0.000 0.000
Si1 0.000 0.500 0.759
Tc1 0.000 0.000 0.508
Tc2 0.000 0.500 0.231
# D(E_F) = 7.3 states/eV per cell
# Distance to the lowest polymorph of the same formula = 0.614 eV per atom

# Be2SiTc | Alexandria via LeMat-Bulk | GGA-PBE | optimized geometry
data_Be2SiTc
_chemical_formula_sum 'Be2 Si1 Tc1'
_cell_length_a 2.542
_cell_length_b 2.542
_cell_length_c 7.140
_cell_angle_alpha 90.00
_cell_angle_beta 90.00
_cell_angle_gamma 90.00
_symmetry_space_group_name_H-M 'P 4 m m'
_symmetry_Int_Tables_number 99
_symmetry_space_group_name_Hall 'P 4 -2'
loop_
_atom_site_label
_atom_site_fract_x
_atom_site_fract_y
_atom_site_fract_z
Be1 0.000 0.000 0.000
Be2 0.500 0.500 0.202
Si1 0.000 0.000 0.460
Tc1 0.500 0.500 0.751
# D(E_F) = 1.3 states/eV per cell

# Be2SiTc | Alexandria via LeMat-Bulk | GGA-PBE | optimized geometry
data_Be2SiTc
_chemical_formula_sum 'Be4 Si2 Tc2'
_cell_length_a 4.816
_cell_length_b 7.712
_cell_length_c 2.580
_cell_angle_alpha 90.00
_cell_angle_beta 106.47
_cell_angle_gamma 90.00
_symmetry_space_group_name_H-M 'C 1 2/m 1'
_symmetry_Int_Tables_number 12
_symmetry_space_group_name_Hall '-C 2y'
loop_
_atom_site_label
_atom_site_fract_x
_atom_site_fract_y
_atom_site_fract_z
Be1 0.250 0.250 0.000
Si1 0.000 0.000 0.500
Tc1 0.000 0.500 0.500
# D(E_F) = 3.6 states/eV per cell

# Be2SiTc | Alexandria via LeMat-Bulk | GGA-PBE | optimized geometry
data_Be2SiTc
_chemical_formula_sum 'Be2 Si1 Tc1'
_cell_length_a 3.078
_cell_length_b 3.078
_cell_length_c 4.780
_cell_angle_alpha 90.00
_cell_angle_beta 90.00
_cell_angle_gamma 90.00
_symmetry_space_group_name_H-M 'P 4 m m'
_symmetry_Int_Tables_number 99
_symmetry_space_group_name_Hall 'P 4 -2'
loop_
_atom_site_label
_atom_site_fract_x
_atom_site_fract_y
_atom_site_fract_z
Be1 0.000 0.000 0.000
Be2 0.500 0.500 0.231
Si1 0.000 0.000 0.493
Tc1 0.500 0.500 0.738
# D(E_F) = 1.5 states/eV per cell

# Be2SiTc | Alexandria via LeMat-Bulk | GGA-PBE | optimized geometry
data_Be2SiTc
_chemical_formula_sum 'Be4 Si2 Tc2'
_cell_length_a 8.403
_cell_length_b 2.568
_cell_length_c 4.280
_cell_angle_alpha 90.00
_cell_angle_beta 99.58
_cell_angle_gamma 90.00
_symmetry_space_group_name_H-M 'C 1 m 1'
_symmetry_Int_Tables_number 8
_symmetry_space_group_name_Hall 'C -2y'
loop_
_atom_site_label
_atom_site_fract_x
_atom_site_fract_y
_atom_site_fract_z
Be1 0.000 0.000 0.000
Be2 0.249 0.000 0.777
Si1 0.251 0.500 0.261
Tc1 0.003 0.500 0.509
# D(E_F) = 3.9 states/eV per cell

# BeSiTc3 | Alexandria via LeMat-Bulk | GGA-PBE | optimized geometry
data_BeSiTc3
_chemical_formula_sum 'Be1 Si1 Tc3'
_cell_length_a 4.109
_cell_length_b 4.109
_cell_length_c 4.109
_cell_angle_alpha 90.00
_cell_angle_beta 90.00
_cell_angle_gamma 90.00
_symmetry_space_group_name_H-M 'P m -3 m'
_symmetry_Int_Tables_number 221
_symmetry_space_group_name_Hall '-P 4 2 3'
loop_
_atom_site_label
_atom_site_fract_x
_atom_site_fract_y
_atom_site_fract_z
Be1 0.000 0.000 0.000
Si1 0.500 0.500 0.500
Tc1 0.000 0.000 0.500
# D(E_F) = 12.3 states/eV per cell
# Distance to the lowest polymorph of the same formula = 0.000 eV per atom

# BeSiTc2 | Alexandria via LeMat-Bulk | GGA-PBE | optimized geometry
data_BeSiTc2
_chemical_formula_sum 'Be2 Si2 Tc4'
_cell_length_a 3.901
_cell_length_b 2.927
_cell_length_c 8.667
_cell_angle_alpha 90.00
_cell_angle_beta 90.00
_cell_angle_gamma 90.00
_symmetry_space_group_name_H-M 'A m m 2'
_symmetry_Int_Tables_number 38
_symmetry_space_group_name_Hall 'A 2 -2'
loop_
_atom_site_label
_atom_site_fract_x
_atom_site_fract_y
_atom_site_fract_z
Be1 0.000 0.000 0.000
Si1 0.500 0.000 0.162
Tc1 0.000 0.000 0.728
Tc2 0.500 0.000 0.438
# D(E_F) = 4.6 states/eV per cell
# Distance to the lowest polymorph of the same formula = 0.014 eV per atom

# Th2Be4Si3Tc | Alexandria via LeMat-Bulk | GGA-PBE | optimized geometry
data_Th2Be4Si3Tc
_chemical_formula_sum 'Th2 Be4 Si3 Tc1'
_cell_length_a 3.952
_cell_length_b 3.952
_cell_length_c 9.900
_cell_angle_alpha 90.00
_cell_angle_beta 90.00
_cell_angle_gamma 90.00
_symmetry_space_group_name_H-M 'P -4 m 2'
_symmetry_Int_Tables_number 115
_symmetry_space_group_name_Hall 'P -4 -2'
loop_
_atom_site_label
_atom_site_fract_x
_atom_site_fract_y
_atom_site_fract_z
Th1 0.000 0.500 0.248
Be1 0.000 0.000 0.000
Be2 0.000 0.500 0.629
Be3 0.500 0.500 0.000
Si1 0.000 0.500 0.873
Si2 0.500 0.500 0.500
Tc1 0.000 0.000 0.500
# D(E_F) = 5.6 states/eV per cell

# ThBe2Si2Tc | Alexandria via LeMat-Bulk | GGA-PBE | optimized geometry
data_ThBe2Si2Tc
_chemical_formula_sum 'Th1 Be2 Si2 Tc1'
_cell_length_a 3.9256
_cell_length_b 3.9256
_cell_length_c 6.8144
_cell_angle_alpha 90.00
_cell_angle_beta 90.00
_cell_angle_gamma 120.00
_symmetry_space_group_name_H-M 'P -3 m 1'
_symmetry_Int_Tables_number 164
_symmetry_space_group_name_Hall '-P 3 2"'
loop_
_atom_site_label
_atom_site_fract_x
_atom_site_fract_y
_atom_site_fract_z
Th1 0.0000 0.0000 0.0000
Be1 0.3333 0.6667 0.3345
Si1 0.3333 0.6667 0.6985
Tc1 0.0000 0.0000 0.5000
# D(E_F) = 2.8 states/eV per cell

# ThBeSi2Tc2 | Alexandria via LeMat-Bulk | GGA-PBE | optimized geometry
data_ThBeSi2Tc2
_chemical_formula_sum 'Th1 Be1 Si2 Tc2'
_cell_length_a 4.343
_cell_length_b 4.343
_cell_length_c 5.309
_cell_angle_alpha 90.00
_cell_angle_beta 90.00
_cell_angle_gamma 90.00
_symmetry_space_group_name_H-M 'P 4/m m m'
_symmetry_Int_Tables_number 123
_symmetry_space_group_name_Hall '-P 4 2'
loop_
_atom_site_label
_atom_site_fract_x
_atom_site_fract_y
_atom_site_fract_z
Th1 0.000 0.000 0.000
Be1 0.000 0.000 0.500
Si1 0.000 0.500 0.500
Tc1 0.500 0.500 0.236
# D(E_F) = 5.3 states/eV per cell

| no. | formation energy from raw total energies (eV/atom) |
| --- | --- |
| 1 | -0.021 |
| 2 | 0.425 |
| 3 | 0.265 |
| 4 | -0.261 |
| 5 | 0.236 |
| 6 | -0.179 |
| 7 | 0.264 |
| 8 | 1.086 |
| 9 | -0.358 |
| 10 | -0.100 |
| 11 | 0.250 |
| 12 | 0.261 |
| 13 | 0.052 |
| 14 | -0.205 |
| 15 | 0.018 |
| 16 | 0.624 |
| 17 | -0.351 |
| 18 | -0.372 |
| 19 | -0.425 |
| 20 | 0.076 |